DFT (PBE) results for a geometry-optimized BSeCl structure.

* electronic total energy: -4.38 eV/atom
* magnetization: 0.00 μB/f.u.

a = 4.0140 Å, b = 8.9797 Å, c = 10.3116 Å
α = 90.00°, β = 90.00°, γ = 90.00°
Fractional coordinates of all 12 atoms:
B  0.2081  0.1355  0.0009
B  0.7081  0.3645  0.9991
B  0.2919  0.8645  0.5009
B  0.7919  0.6355  0.4991
Se  0.5986  0.7795  0.6307
Se  0.9014  0.2205  0.1307
Se  0.0986  0.7205  0.3693
Se  0.4014  0.2795  0.8693
Cl  0.2193  0.0554  0.4934
Cl  0.2807  0.9446  0.9934
Cl  0.7807  0.5554  0.0066
Cl  0.7193  0.4446  0.5066

---

DFT (PBE) results for a geometry-optimized B2SeCl structure.

* electronic total energy: -3.39 eV/atom
* magnetization: 0.00 μB/f.u.

a = 5.7636 Å, b = 5.7636 Å, c = 5.4653 Å
α = 58.18°, β = 58.18°, γ = 90.00°
Fractional coordinates of all 8 atoms:
Cl  0.2500  0.7500  0.5000
Cl  0.5000  0.5000  0.0000
B  0.0970  0.6250  0.2500
B  0.8750  0.9030  0.7500
B  0.3750  0.3470  0.7500
B  0.6530  0.1250  0.2500
Se  0.0000  0.0000  0.0000
Se  0.7500  0.2500  0.5000

---

DFT (PBE) results for a geometry-optimized BSe2Cl structure.

* electronic total energy: -3.45 eV/atom
* magnetization: 0.00 μB/f.u.

a = 7.7851 Å, b = 7.7851 Å, c = 7.7851 Å
α = 25.42°, β = 25.42°, γ = 25.42°
Fractional coordinates of all 4 atoms:
Cl  0.0000  0.0000  0.0000
B  0.5000  0.5000  0.5000
Se  0.1121  0.1121  0.1121
Se  0.8879  0.8879  0.8879

---

DFT (PBE) results for a geometry-optimized BSe2Cl structure.

* electronic total energy: -3.44 eV/atom
* magnetization: 0.00 μB/f.u.

a = 8.5130 Å, b = 8.5130 Å, c = 8.5130 Å
α = 25.71°, β = 25.71°, γ = 25.71°
Fractional coordinates of all 4 atoms:
B  0.0000  0.0000  0.0000
Se  0.9262  0.9262  0.9262
Se  0.0738  0.0738  0.0738
Cl  0.5000  0.5000  0.5000

---

DFT (PBE) results for a geometry-optimized BSe2Cl structure.

* electronic total energy: -2.51 eV/atom
* magnetization: 0.00 μB/f.u.

a = 4.5636 Å, b = 4.5636 Å, c = 4.5636 Å
α = 60.00°, β = 60.00°, γ = 60.00°
Fractional coordinates of all 4 atoms:
Se  0.2500  0.2500  0.2500
Se  0.7500  0.7500  0.7500
Cl  0.5000  0.5000  0.5000
B  0.0000  0.0000  0.0000

---

DFT (PBE) results for a geometry-optimized BSeCl structure.

* electronic total energy: -4.47 eV/atom
* magnetization: 0.00 μB/f.u.

a = 3.2333 Å, b = 8.9896 Å, c = 7.2134 Å
α = 75.11°, β = 76.85°, γ = 79.62°
Fractional coordinates of all 6 atoms:
B  0.3143  0.6980  0.6881
B  0.1056  0.2120  0.5923
Se  0.8903  0.7153  0.5213
Se  0.5297  0.1944  0.7592
Cl  0.2203  0.2370  0.3410
Cl  0.1988  0.6733  0.9394

---

DFT (PBE) results for a geometry-optimized BSe2Cl structure.

* electronic total energy: -3.58 eV/atom
* magnetization: 0.00 μB/f.u.

a = 6.2680 Å, b = 6.2680 Å, c = 6.0870 Å
α = 59.01°, β = 59.01°, γ = 90.00°
Fractional coordinates of all 8 atoms:
Se  0.8750  0.7717  0.7500
Se  0.2283  0.6250  0.2500
Se  0.5217  0.1250  0.2500
Se  0.3750  0.4783  0.7500
B  0.2500  0.7500  0.5000
B  0.5000  0.5000  0.0000
Cl  0.0000  0.0000  0.0000
Cl  0.7500  0.2500  0.5000

---

DFT (PBE) results for a geometry-optimized Tc2BSeCl structure.

* electronic total energy: -5.56 eV/atom
* magnetization: 3.60 μB/f.u.

a = 4.3736 Å, b = 4.0873 Å, c = 4.3736 Å
α = 90.00°, β = 90.00°, γ = 90.00°
Site moments in Bohr magnetons follow the coordinates.
Fractional coordinates of all 5 atoms:
Se  0.5000  0.5000  0.5000  -0.04
Cl  0.0000  0.5000  0.0000  0.16
Tc  0.5000  0.0000  0.0000  1.53
Tc  0.0000  0.0000  0.5000  1.72
B  0.0000  0.0000  0.0000  -0.09

---

DFT (PBE) results for a geometry-optimized TiBSeCl2 structure.

* electronic total energy: -3.27 eV/atom
* magnetization: 2.81 μB/f.u.

a = 5.3649 Å, b = 5.3649 Å, c = 4.8533 Å
α = 90.00°, β = 90.00°, γ = 90.00°
Site moments in Bohr magnetons follow the coordinates.
Fractional coordinates of all 5 atoms:
Cl  0.5000  0.0000  0.0000  0.06
Cl  0.0000  0.5000  0.0000  0.06
B  0.5000  0.5000  0.5000  0.29
Ti  0.0000  0.0000  0.5000  1.62
Se  0.0000  0.0000  0.0000  -0.09

---

DFT (PBE) results for a geometry-optimized ZnB2SeCl structure.

* electronic total energy: -2.63 eV/atom
* magnetization: 0.55 μB/f.u.

a = 4.0288 Å, b = 7.3501 Å, c = 4.0288 Å
α = 90.00°, β = 90.00°, γ = 90.00°
Site moments in Bohr magnetons follow the coordinates.
Fractional coordinates of all 5 atoms:
Cl  0.5000  0.5000  0.5000  0.01
B  0.0000  0.0000  0.5000  0.05
B  0.5000  0.0000  0.0000  0.18
Se  0.0000  0.0000  0.0000  -0.02
Zn  0.0000  0.5000  0.0000  0.01

---

DFT (PBE) results for a geometry-optimized SiBCl2 structure.

* electronic total energy: -2.92 eV/atom
* magnetization: 0.00 μB/f.u.

a = 6.4438 Å, b = 6.4438 Å, c = 6.4375 Å
α = 59.97°, β = 59.97°, γ = 90.00°
Fractional coordinates of all 8 atoms:
Si  0.0000  0.0000  0.0000
Si  0.7500  0.2500  0.5000
Cl  0.3750  0.6239  0.7500
Cl  0.3739  0.6250  0.2500
Cl  0.3761  0.1250  0.2500
Cl  0.8750  0.6261  0.7500
B  0.5000  0.5000  0.0000
B  0.2500  0.7500  0.5000

---

DFT (PBE) results for a geometry-optimized SiB2Cl2 structure.

* electronic total energy: -3.54 eV/atom
* magnetization: 0.00 μB/f.u.

a = 5.3989 Å, b = 5.3989 Å, c = 4.7235 Å
α = 55.15°, β = 55.15°, γ = 90.00°
Fractional coordinates of all 5 atoms:
B  0.6492  0.6492  0.7017
B  0.3508  0.3508  0.2983
Cl  0.2500  0.7500  0.5000
Cl  0.7500  0.2500  0.5000
Si  0.0000  0.0000  0.0000

---

DFT (PBE) results for a geometry-optimized SiBCl2 structure.

* electronic total energy: -2.86 eV/atom
* magnetization: 0.00 μB/f.u.

a = 4.6455 Å, b = 4.6455 Å, c = 4.6455 Å
α = 60.00°, β = 60.00°, γ = 60.00°
Fractional coordinates of all 4 atoms:
B  0.0000  0.0000  0.0000
Si  0.5000  0.5000  0.5000
Cl  0.2500  0.2500  0.2500
Cl  0.7500  0.7500  0.7500

---

DFT (PBE) results for a geometry-optimized SiBCl2 structure.

* electronic total energy: -3.10 eV/atom
* magnetization: 0.00 μB/f.u.

a = 8.2633 Å, b = 8.2633 Å, c = 8.2633 Å
α = 22.93°, β = 22.93°, γ = 22.93°
Fractional coordinates of all 4 atoms:
B  0.5000  0.5000  0.5000
Si  0.0000  0.0000  0.0000
Cl  0.1011  0.1011  0.1011
Cl  0.8989  0.8989  0.8989

---

DFT (PBE) results for a geometry-optimized SiB2Cl2 structure.

* electronic total energy: -3.60 eV/atom
* magnetization: 0.00 μB/f.u.

a = 5.9654 Å, b = 5.9654 Å, c = 4.3658 Å
α = 90.00°, β = 90.00°, γ = 90.00°
Fractional coordinates of all 10 atoms:
B  0.2309  0.7309  0.0000
B  0.7309  0.7691  0.0000
B  0.2691  0.2309  0.0000
B  0.7691  0.2691  0.0000
Cl  0.1896  0.6896  0.5000
Cl  0.8104  0.3104  0.5000
Cl  0.3104  0.1896  0.5000
Cl  0.6896  0.8104  0.5000
Si  0.5000  0.5000  0.0000
Si  0.0000  0.0000  0.0000

---

DFT (PBE) results for a geometry-optimized SiBCl3 structure.

* electronic total energy: -2.96 eV/atom
* magnetization: 0.00 μB/f.u.

a = 4.4447 Å, b = 4.4447 Å, c = 4.4447 Å
α = 90.00°, β = 90.00°, γ = 90.00°
Fractional coordinates of all 5 atoms:
Si  0.5000  0.5000  0.5000
B  0.0000  0.0000  0.0000
Cl  0.5000  0.0000  0.0000
Cl  0.0000  0.5000  0.0000
Cl  0.0000  0.0000  0.5000

---

DFT (PBE) results for a geometry-optimized SiBCl2 structure.

* electronic total energy: -3.35 eV/atom
* magnetization: 0.07 μB/f.u.

a = 10.4130 Å, b = 10.4130 Å, c = 10.4130 Å
α = 17.13°, β = 17.13°, γ = 17.13°
Fractional coordinates of all 4 atoms:
Cl  0.9458  0.9458  0.9458
Cl  0.0542  0.0542  0.0542
Si  0.5000  0.5000  0.5000
B  0.0000  0.0000  0.0000

---

DFT (PBE) results for a geometry-optimized SiBCl3 structure.

* electronic total energy: -2.98 eV/atom
* magnetization: 0.20 μB/f.u.

a = 4.9073 Å, b = 4.9073 Å, c = 4.9073 Å
α = 90.00°, β = 90.00°, γ = 90.00°
Site moments in Bohr magnetons follow the coordinates.
Fractional coordinates of all 5 atoms:
Si  0.0000  0.0000  0.0000  0.00
B  0.5000  0.5000  0.5000  -0.10
Cl  0.0000  0.0000  0.5000  0.01
Cl  0.0000  0.5000  0.0000  0.00
Cl  0.5000  0.0000  0.0000  0.01

---

DFT (PBE) results for a geometry-optimized SiB2WCl structure.

* electronic total energy: -4.90 eV/atom
* magnetization: 0.01 μB/f.u.

a = 3.8702 Å, b = 4.5954 Å, c = 3.8702 Å
α = 90.00°, β = 90.00°, γ = 90.00°
Fractional coordinates of all 5 atoms:
Cl  0.0000  0.5000  0.0000
Si  0.0000  0.0000  0.0000
W  0.5000  0.5000  0.5000
B  0.0000  0.0000  0.5000
B  0.5000  0.0000  0.0000

---

DFT (PBE) results for a geometry-optimized Y2SiBCl structure.

* electronic total energy: -5.92 eV/atom
* magnetization: 0.00 μB/f.u.

a = 5.1812 Å, b = 3.7552 Å, c = 5.1812 Å
α = 90.00°, β = 90.00°, γ = 90.00°
Fractional coordinates of all 5 atoms:
B  0.0000  0.0000  0.0000
Y  0.5000  0.0000  0.0000
Y  0.0000  0.0000  0.5000
Si  0.0000  0.5000  0.0000
Cl  0.5000  0.5000  0.5000

---

DFT (PBE) results for a geometry-optimized Sm7BCl12 structure.

* electronic total energy: -5.00 eV/atom
* magnetization: 0.00 μB/f.u.

a = 8.8584 Å, b = 8.8584 Å, c = 8.8584 Å
α = 107.49°, β = 107.49°, γ = 107.49°
Fractional coordinates of all 20 atoms:
Sm  0.5000  0.5000  0.5000
Sm  0.0311  0.3197  0.1107
Sm  0.3197  0.1107  0.0311
Sm  0.8893  0.9689  0.6803
Sm  0.1107  0.0311  0.3197
Sm  0.6803  0.8893  0.9689
Sm  0.9689  0.6803  0.8893
Cl  0.4696  0.1602  0.3852
Cl  0.7773  0.9222  0.3113
Cl  0.8398  0.6148  0.5304
Cl  0.0778  0.6887  0.2227
Cl  0.3852  0.4696  0.1602
Cl  0.9222  0.3113  0.7773
Cl  0.2227  0.0778  0.6887
Cl  0.5304  0.8398  0.6148
Cl  0.6148  0.5304  0.8398
Cl  0.6887  0.2227  0.0778
Cl  0.1602  0.3852  0.4696
Cl  0.3113  0.7773  0.9222
B  0.0000  0.0000  0.0000

---

DFT (PBE) results for a geometry-optimized Sm4BCl4 structure.

* electronic total energy: -5.14 eV/atom
* magnetization: 0.00 μB/f.u.

a = 3.9435 Å, b = 6.8410 Å, c = 9.0486 Å
α = 79.11°, β = 77.41°, γ = 73.25°
Fractional coordinates of all 9 atoms:
Cl  0.3198  0.5848  0.7756
Cl  0.1047  0.1848  0.6058
Cl  0.8953  0.8152  0.3942
Cl  0.6802  0.4152  0.2244
Sm  0.3158  0.1011  0.2673
Sm  0.9082  0.2604  0.9231
Sm  0.0918  0.7396  0.0769
Sm  0.6842  0.8989  0.7327
B  0.5000  0.0000  0.0000

---

DFT (PBE) results for a geometry-optimized Sm4BCl5 structure.

* electronic total energy: -5.14 eV/atom
* magnetization: 0.00 μB/f.u.

a = 3.9302 Å, b = 8.0681 Å, c = 9.0731 Å
α = 103.84°, β = 102.51°, γ = 90.00°
Fractional coordinates of all 10 atoms:
Cl  0.1704  0.8474  0.3407
Cl  0.8296  0.1526  0.6593
Cl  0.8353  0.6630  0.6706
Cl  0.5000  0.5000  0.0000
Cl  0.1647  0.3370  0.3294
Sm  0.9992  0.2203  0.9984
Sm  0.6484  0.0862  0.2967
Sm  0.3516  0.9138  0.7033
Sm  0.0008  0.7797  0.0016
B  0.5000  0.0000  0.0000

---

DFT (PBE) results for a geometry-optimized Sm3BCl3 structure.

* electronic total energy: -5.26 eV/atom
* magnetization: 0.00 μB/f.u.

a = 9.7098 Å, b = 9.7098 Å, c = 9.7098 Å
α = 109.47°, β = 109.47°, γ = 109.47°
Fractional coordinates of all 28 atoms:
Cl  0.4958  0.9915  0.7458
Cl  0.4958  0.5042  0.2500
Cl  0.0042  0.2500  0.9958
Cl  0.7500  0.9958  0.5042
Cl  0.4915  0.7458  0.9958
Cl  0.2542  0.5085  0.5042
Cl  0.7500  0.7542  0.7458
Cl  0.2458  0.2500  0.7542
Cl  0.2458  0.9958  0.9915
Cl  0.2542  0.7458  0.2500
Cl  0.0042  0.7542  0.5085
Cl  0.0085  0.5042  0.7542
Sm  0.9858  0.2358  0.4716
Sm  0.7642  0.7500  0.2358
Sm  0.7358  0.2642  0.7500
Sm  0.2500  0.0142  0.4858
Sm  0.7642  0.0142  0.0284
Sm  0.2500  0.2358  0.2642
Sm  0.9858  0.7500  0.0142
Sm  0.9716  0.4858  0.2358
Sm  0.5142  0.4858  0.7500
Sm  0.7358  0.4716  0.4858
Sm  0.5142  0.0284  0.2642
Sm  0.5284  0.2642  0.0142
B  0.7500  0.2500  0.2500
B  0.7500  0.5000  0.0000
B  0.0000  0.0000  0.2500
B  0.5000  0.2500  0.5000

---

DFT (PBE) results for a geometry-optimized SnBCl2 structure.

* electronic total energy: -3.10 eV/atom
* magnetization: 0.00 μB/f.u.

a = 8.7390 Å, b = 8.7390 Å, c = 8.7390 Å
α = 23.04°, β = 23.04°, γ = 23.04°
Fractional coordinates of all 4 atoms:
Sn  0.0000  0.0000  0.0000
Cl  0.1079  0.1079  0.1079
Cl  0.8921  0.8921  0.8921
B  0.5000  0.5000  0.5000

---

| no. | uncorrected formation energy (eV per atom) |
| --- | --- |
| 1 | -0.378 |
| 2 | 1.286 |
| 3 | 0.422 |
| 4 | 0.433 |
| 5 | 1.364 |
| 6 | -0.465 |
| 7 | 0.293 |
| 8 | 0.991 |
| 9 | 1.084 |
| 10 | 1.365 |
| 11 | 1.033 |
| 12 | 0.958 |
| 13 | 1.087 |
| 14 | 0.844 |
| 15 | 0.891 |
| 16 | 0.573 |
| 17 | 0.600 |
| 18 | 0.549 |
| 19 | 1.820 |
| 20 | -0.540 |
| 21 | -1.905 |
| 22 | -1.478 |
| 23 | -1.665 |
| 24 | -1.491 |
| 25 | 0.496 |